Entry 1:
The following is a PBE-GGA calculation of an optimized crystal structure of Ho4Pd15Au, from the Alexandria database.

Lattice parameters (Å, degrees): 4.083 4.083 20.546 90.00 90.00 90.00
Sites, in units of the cell vectors:
Pd 0.500 0.000 0.702
Pd 0.500 0.500 0.000
Pd 0.500 0.500 0.197
Pd 0.000 0.500 0.298
Pd 0.500 0.000 0.097
Pd 0.000 0.500 0.097
Pd 0.500 0.500 0.803
Pd 0.000 0.500 0.702
Pd 0.000 0.500 0.500
Pd 0.500 0.000 0.903
Pd 0.500 0.000 0.500
Pd 0.500 0.000 0.298
Pd 0.500 0.500 0.398
Pd 0.000 0.500 0.903
Pd 0.500 0.500 0.602
Ho 0.000 0.000 0.601
Ho 0.000 0.000 0.399
Ho 0.000 0.000 0.803
Ho 0.000 0.000 0.197
Au 0.000 0.000 0.000

Calculated values
The total moment comes out at 0.00 μB per formula unit. The formation energy comes out at -0.71 eV per atom.

Entry 2:
The following is a PBE-GGA calculation of an optimized crystal structure of ScU2Ni9, from the Alexandria database.

Lattice parameters (Å, degrees): 4.812 4.812 8.617 73.79 73.79 60.00
Site moments in Bohr magnetons follow the coordinates.
Sites, in units of the cell vectors:
Ni 0.667 0.667 0.999  0.03
Ni 0.417 0.918 0.248  -0.03
Ni 0.918 0.417 0.248  -0.03
Ni 0.417 0.417 0.248  -0.03
Ni 0.583 0.082 0.752  -0.03
Ni 0.500 0.500 0.500  -0.01
Ni 0.333 0.333 0.001  0.03
Ni 0.082 0.583 0.752  -0.03
Ni 0.583 0.583 0.752  -0.03
U 0.141 0.141 0.577  1.17
U 0.859 0.859 0.423  1.17
Sc 0.000 0.000 0.000  0.00

Calculated values
The total moment comes out at 2.32 μB per formula unit. The formation energy comes out at -0.30 eV per atom.

Entry 3:
The following is a PBE-GGA calculation of an optimized crystal structure of BeGaSe2, from the Alexandria database.

Lattice parameters (Å, degrees): 7.244 7.244 7.244 33.16 33.16 33.16
Sites, in units of the cell vectors:
Se 0.901 0.901 0.901
Se 0.099 0.099 0.099
Be 0.000 0.000 0.000
Ga 0.500 0.500 0.500

Calculated values
For the uncorrected formation energy, the calculation gives -0.17 eV per atom. The total moment comes out at 0.00 μB per formula unit. Its energy above the lowest structure with this stoichiometry is 0.2742 eV/atom.

Entry 4:
The following is a PBE-GGA calculation of an optimized crystal structure of ThMgSi2, from the Alexandria database.

Lattice parameters (Å, degrees): 4.331 6.824 11.275 90.00 90.00 90.00
Sites, in units of the cell vectors:
Mg 0.250 0.135 0.551
Mg 0.250 0.635 0.949
Mg 0.750 0.365 0.051
Mg 0.750 0.865 0.449
Si 0.750 0.967 0.678
Si 0.250 0.677 0.376
Si 0.250 0.533 0.178
Si 0.250 0.177 0.124
Si 0.750 0.323 0.624
Si 0.750 0.823 0.876
Si 0.750 0.467 0.822
Si 0.250 0.033 0.322
Th 0.750 0.363 0.348
Th 0.750 0.863 0.152
Th 0.250 0.637 0.652
Th 0.250 0.137 0.848

Calculated values
For the uncorrected formation energy, the calculation gives -0.41 eV per atom. The total moment comes out at 0.00 μB per formula unit.

Entry 5:
The following is a PBE-GGA calculation of an optimized crystal structure of PrSeBr, from the Alexandria database.

Lattice parameters (Å, degrees): 4.612 5.734 7.916 114.20 90.00 90.00
Sites, in units of the cell vectors:
Br 0.250 0.801 0.562
Br 0.750 0.199 0.438
Pr 0.250 0.858 0.193
Pr 0.750 0.142 0.807
Se 0.250 0.290 0.065
Se 0.750 0.710 0.935

Calculated values
For the uncorrected formation energy, the calculation gives -1.90 eV per atom. The total moment comes out at 0.00 μB per formula unit.

Entry 6:
The following is a PBE-GGA calculation of an optimized crystal structure of PrNd2DyTm, from the Alexandria database.

Lattice parameters (Å, degrees): 6.648 8.399 6.242 92.93 90.00 90.00
Sites, in units of the cell vectors:
Nd 0.309 0.309 0.234
Nd 0.691 0.309 0.734
Nd 0.691 0.691 0.766
Nd 0.309 0.691 0.266
Tm 0.160 0.500 0.750
Tm 0.840 0.500 0.250
Dy 0.430 0.000 0.750
Dy 0.570 0.000 0.250
Pr 0.000 0.000 0.500
Pr 0.000 0.000 0.000

Calculated values
The total moment comes out at 0.00 μB per formula unit. The formation energy comes out at 0.28 eV per atom.

Entry 7:
The following is a PBE-GGA calculation of an optimized crystal structure of K7AuN12, from the Alexandria database.

Lattice parameters (Å, degrees): 8.494 8.494 8.494 112.98 112.98 112.98
Site moments in Bohr magnetons follow the coordinates.
Sites, in units of the cell vectors:
N 0.056 0.505 0.213  0.27
N 0.944 0.495 0.787  0.27
N 0.495 0.787 0.944  0.27
N 0.761 0.333 0.620  0.26
N 0.620 0.761 0.333  0.26
N 0.213 0.056 0.505  0.27
N 0.787 0.944 0.495  0.27
N 0.505 0.213 0.056  0.27
N 0.667 0.380 0.239  0.26
N 0.333 0.620 0.761  0.26
N 0.380 0.239 0.667  0.26
N 0.239 0.667 0.380  0.26
K 0.909 0.212 0.351  0.02
K 0.500 0.500 0.500  0.02
K 0.091 0.788 0.649  0.02
K 0.788 0.649 0.091  0.02
K 0.351 0.909 0.212  0.02
K 0.212 0.351 0.909  0.02
K 0.649 0.091 0.788  0.02
Au 0.000 0.000 0.000  0.03

Calculated values
For the uncorrected formation energy, the calculation gives -0.09 eV per atom. The total moment comes out at 6.08 μB per formula unit.

Entry 8:
The following is a PBE-GGA calculation of an optimized crystal structure of Rb3NiI6, from the Alexandria database.

Lattice parameters (Å, degrees): 8.348 9.191 11.870 90.00 87.40 90.00
Site moments in Bohr magnetons follow the coordinates.
Sites, in units of the cell vectors:
I 0.258 0.845 0.034  0.00
I 0.335 0.765 0.429  0.10
I 0.758 0.655 0.534  0.00
I 0.665 0.235 0.571  0.10
I 0.165 0.265 0.071  0.10
I 0.606 0.453 0.293  0.00
I 0.742 0.155 0.966  0.00
I 0.394 0.547 0.707  0.00
I 0.242 0.345 0.466  0.00
I 0.106 0.047 0.793  0.00
I 0.835 0.735 0.929  0.10
I 0.894 0.953 0.207  0.00
Rb 0.469 0.075 0.248  0.00
Rb 0.500 0.500 0.000  0.00
Rb 0.531 0.925 0.752  0.00
Rb 0.031 0.575 0.252  0.00
Rb 0.969 0.425 0.748  0.00
Rb 0.000 0.000 0.500  0.00
Ni 0.000 0.000 0.000  0.57
Ni 0.500 0.500 0.500  0.57

Calculated values
For the uncorrected formation energy, the calculation gives -0.85 eV per atom. The total moment comes out at 0.90 μB per formula unit. Its energy above the lowest structure with this stoichiometry is 0.0000 eV/atom.

Entry 9:
The following is a PBE-GGA calculation of an optimized crystal structure of BaHo3Ni, from the Alexandria database.

Lattice parameters (Å, degrees): 5.450 5.450 5.450 90.00 90.00 90.00
Sites, in units of the cell vectors:
Ho 0.500 0.000 0.000
Ho 0.000 0.000 0.500
Ho 0.000 0.500 0.000
Ni 0.000 0.000 0.000
Ba 0.500 0.500 0.500

Calculated values
The total moment comes out at 0.00 μB per formula unit. The formation energy comes out at -0.04 eV per atom.

Entry 10:
The following is a PBE-GGA calculation of an optimized crystal structure of Pm5AlZn4, from the Alexandria database.

Lattice parameters (Å, degrees): 3.650 3.650 18.535 90.00 90.00 90.00
Sites, in units of the cell vectors:
Al 0.000 0.000 0.000
Zn 0.000 0.000 0.203
Zn 0.000 0.000 0.600
Zn 0.000 0.000 0.400
Zn 0.000 0.000 0.797
Pm 0.500 0.500 0.897
Pm 0.500 0.500 0.301
Pm 0.500 0.500 0.103
Pm 0.500 0.500 0.500
Pm 0.500 0.500 0.699

Calculated values
The total moment comes out at 0.00 μB per formula unit. The formation energy comes out at -0.32 eV per atom.

Entry 11:
The following is a PBE-GGA calculation of an optimized crystal structure of GdIn2F4, from the Alexandria database.

Lattice parameters (Å, degrees): 4.454 4.454 9.666 76.68 76.68 90.00
Site moments in Bohr magnetons follow the coordinates.
Sites, in units of the cell vectors:
F 0.121 0.121 0.758  0.01
F 0.500 0.000 0.000  0.01
F 0.879 0.879 0.242  0.01
F 0.000 0.500 0.000  0.01
Gd 0.000 0.000 0.000  6.96
In 0.756 0.756 0.487  0.00
In 0.244 0.244 0.513  0.00

Calculated values
For the uncorrected formation energy, the calculation gives -2.73 eV per atom. The total moment comes out at 7.04 μB per formula unit.

Entry 12:
The following is a PBE-GGA calculation of an optimized crystal structure of Y2ZrTiBr, from the Alexandria database.

Lattice parameters (Å, degrees): 5.664 5.098 5.664 90.00 90.00 90.00
Site moments in Bohr magnetons follow the coordinates.
Sites, in units of the cell vectors:
Ti 0.500 0.500 0.500  1.86
Br 0.000 0.500 0.000  0.02
Y 0.000 0.000 0.500  0.13
Y 0.500 0.000 0.000  0.10
Zr 0.000 0.000 0.000  -0.10

Calculated values
For the uncorrected formation energy, the calculation gives 0.85 eV per atom. The total moment comes out at 3.00 μB per formula unit.

It is found that the VASP energy values, taken in the order of the records, are -5.689; -7.047; -3.599; -5.374; -5.214; -4.399; -5.637; -2.644; -4.325; -3.582; -6.598; -5.354 eV per atom.